1.
Compound: Tb7Tm3In
Source: the Alexandria database
Functional: PBE-GGA
Structure: relaxed

Summary:
* size of the total moment: 0.00 μB per atom
* energy: -4.2956 eV per atom
* E_form: 119 meV/atom

abc: 6.945 6.945 8.457
angles: 90.00 90.00 120.00
Fractional positions:
Tb1 0.000 0.000 0.000
Tb2 0.164 0.327 0.338
Tb3 0.164 0.836 0.338
Tb4 0.502 0.003 0.010
Tb5 0.502 0.498 0.010
Tb6 0.673 0.836 0.338
Tb7 0.997 0.498 0.010
Tm1 0.332 0.166 0.672
Tm2 0.834 0.166 0.672
Tm3 0.834 0.668 0.672
In1 0.667 0.333 0.343

---

2.
Compound: TlGe2Te3
Source: the Alexandria database
Functional: PBE-GGA
Structure: relaxed

Summary:
* size of the total moment: 0.00 μB per atom
* energy: -3.5245 eV per atom
* energy above the lowest structure with this stoichiometry: 72 meV/atom
* formation energy without anion corrections: -1.9 kJ/mol of atoms

abc: 8.104 8.104 6.714
angles: 90.00 90.00 93.90
Fractional positions:
Tl1 0.106 0.894 0.750
Tl2 0.894 0.106 0.250
Ge1 0.337 0.337 0.000
Ge2 0.337 0.337 0.500
Ge3 0.663 0.663 0.000
Ge4 0.663 0.663 0.500
Te1 0.067 0.307 0.750
Te2 0.307 0.067 0.250
Te3 0.367 0.633 0.250
Te4 0.633 0.367 0.750
Te5 0.693 0.933 0.750
Te6 0.933 0.693 0.250

---

Values for DOS(E_F), states/eV per atom, ordered as above
1.420, 0.434